*1*
SrPS2N: optimized geometry, PBE-GGA.

a b c (Å): 4.9993 4.9993 3.6139
angles (deg): 90.00 90.00 90.00
Last column: nearest neighbours and their distance in Å.
Atoms (fractional coordinates):
1 N 0.0000 0.0000 0.0000  2 P 1.81
2 S 0.0000 0.5000 0.0000  2 N 2.50
3 S 0.5000 0.0000 0.0000  2 N 2.50
4 Sr 0.5000 0.5000 0.5000  8 S 3.08
5 P 0.0000 0.0000 0.5000  2 N 1.81

Summary:
SG: P4/mmm, No. 123
DOS(E_F), states/eV/cell: 0.36

---

*2*
SrPS2N: optimized geometry, PBE-GGA.

a b c (Å): 5.7912 5.7912 6.6452
angles (deg): 90.00 90.00 90.00
Last column: nearest neighbours and their distance in Å.
Atoms (fractional coordinates):
1 S 0.0000 0.5000 0.0000  2 Sr 2.90
2 S 0.5000 0.0000 0.0000  2 Sr 2.90
3 Sr 0.0000 0.0000 0.0000  4 S 2.90
4 N 0.5000 0.5000 0.5000  4 P 4.10, 8 S 4.41
5 P 0.0000 0.0000 0.5000  2 Sr 3.32

Summary:
SG: P4/mmm, No. 123
DOS(E_F), states/eV/cell: 4.26

---

What should be chosen as the least stable of them? Choose *2*.

---

*1*
TaP2SN: optimized geometry, PBE-GGA.

a b c (Å): 3.9580 3.9580 4.1862
angles (deg): 90.00 90.00 90.00
Last column: nearest neighbours and their distance in Å.
Atoms (fractional coordinates):
1 P 0.0000 0.5000 0.0000  2 N 1.98
2 P 0.5000 0.0000 0.0000  2 N 1.98
3 Ta 0.5000 0.5000 0.5000  4 S 2.80, 8 P 2.88
4 S 0.0000 0.0000 0.5000  2 N 2.09
5 N 0.0000 0.0000 0.0000  4 P 1.98, 2 S 2.09

Summary:
SG: P4/mmm, No. 123
DOS(E_F), states/eV/cell: 1.64

---

*2*
TaP2SN: optimized geometry, PBE-GGA.

a b c (Å): 4.8694 4.8694 4.7332
angles (deg): 90.00 90.00 90.00
Last column: nearest neighbours and their distance in Å.
Atoms (fractional coordinates):
1 P 0.0000 0.5000 0.0000  2 Ta 2.43
2 P 0.5000 0.0000 0.0000  2 Ta 2.43
3 Ta 0.0000 0.0000 0.0000  2 S 2.37, 4 P 2.43
4 S 0.0000 0.0000 0.5000  2 Ta 2.37
5 N 0.5000 0.5000 0.5000  8 P 3.40, 4 S 3.44

Summary:
SG: P4/mmm, No. 123
DOS(E_F), states/eV/cell: 3.46

---

What should be chosen as the least stable of them? Choose *2*.

---

*1*
TaPSN2: optimized geometry, PBE-GGA.

a b c (Å): 3.6277 3.6277 4.2740
angles (deg): 90.00 90.00 90.00
Last column: nearest neighbours and their distance in Å.
Atoms (fractional coordinates):
1 S 0.0000 0.0000 0.5000  2 P 2.14
2 Ta 0.5000 0.5000 0.5000  4 S 2.57, 8 N 2.80
3 N 0.5000 0.0000 0.0000  2 P 1.81
4 N 0.0000 0.5000 0.0000  2 P 1.81
5 P 0.0000 0.0000 0.0000  4 N 1.81

Summary:
SG: P4/mmm, No. 123
DOS(E_F), states/eV/cell: 1.90

---

*2*
TaPSN2: optimized geometry, PBE-GGA.

a b c (Å): 3.9599 3.9599 5.1974
angles (deg): 90.00 90.00 90.00
Last column: nearest neighbours and their distance in Å.
Atoms (fractional coordinates):
1 S 0.0000 0.0000 0.5000  2 Ta 2.60, 4 P 2.80
2 N 0.0000 0.5000 0.0000  2 Ta 1.98
3 N 0.5000 0.0000 0.0000  2 Ta 1.98
4 P 0.5000 0.5000 0.5000  4 S 2.80
5 Ta 0.0000 0.0000 0.0000  4 N 1.98

Summary:
SG: P4/mmm, No. 123
DOS(E_F), states/eV/cell: 2.59

---

What should be chosen as the least stable of them? Choose *1*.

---

*1*
TcP2SN: optimized geometry, PBE-GGA.

a b c (Å): 4.6263 4.6263 4.3683
angles (deg): 90.00 90.00 90.00
Last column: nearest neighbours and their distance in Å.
Atoms (fractional coordinates):
1 P 0.0000 0.5000 0.0000  2 Tc 2.31
2 P 0.5000 0.0000 0.0000  2 Tc 2.31
3 S 0.0000 0.0000 0.5000  2 Tc 2.18
4 N 0.5000 0.5000 0.5000  8 P 3.18, 4 S 3.27
5 Tc 0.0000 0.0000 0.0000  2 S 2.18, 4 P 2.31

Summary:
SG: P4/mmm, No. 123
DOS(E_F), states/eV/cell: 4.24

---

*2*
TcP2SN: optimized geometry, PBE-GGA.

a b c (Å): 3.8923 3.8923 4.1115
angles (deg): 90.00 90.00 90.00
Last column: nearest neighbours and their distance in Å.
Atoms (fractional coordinates):
1 S 0.0000 0.0000 0.5000  2 N 2.06
2 P 0.0000 0.5000 0.0000  2 N 1.95
3 P 0.5000 0.0000 0.0000  2 N 1.95
4 Tc 0.5000 0.5000 0.5000  4 S 2.75, 8 P 2.83
5 N 0.0000 0.0000 0.0000  4 P 1.95, 2 S 2.06

Summary:
SG: P4/mmm, No. 123
DOS(E_F), states/eV/cell: 3.90

---

What should be chosen as the least stable of them? Choose *1*.